Run P
BaCd2InNi: relaxed, PBE.

CIF file:
```
data_BaCd2InNi
_cell_length_a 5.154
_cell_length_b 5.154
_cell_length_c 5.601
_cell_angle_alpha 90.00
_cell_angle_beta 90.00
_cell_angle_gamma 90.00
_space_group_name_H-M_alt 'P 4/m m m'
_space_group_IT_number 123
_space_group_name_Hall '-P 4 2'
loop_
_atom_site_label
_atom_site_type_symbol
_atom_site_fract_x
_atom_site_fract_y
_atom_site_fract_z
Ba1 Ba 0.000 0.000 0.000
Cd1 Cd 0.000 0.500 0.500
In1 In 0.500 0.500 0.000
Ni1 Ni 0.000 0.000 0.500
```

Run Q
BaCd2InNi: relaxed, PBE.

CIF file:
```
data_BaCd2InNi
_cell_length_a 5.166
_cell_length_b 5.166
_cell_length_c 5.032
_cell_angle_alpha 90.00
_cell_angle_beta 90.00
_cell_angle_gamma 90.00
_space_group_name_H-M_alt 'P 4/m m m'
_space_group_IT_number 123
_space_group_name_Hall '-P 4 2'
loop_
_atom_site_label
_atom_site_type_symbol
_atom_site_fract_x
_atom_site_fract_y
_atom_site_fract_z
Ba1 Ba 0.000 0.000 0.000
Cd1 Cd 0.000 0.500 0.500
In1 In 0.500 0.500 0.000
Ni1 Ni 0.500 0.500 0.500
```

Energies relative to the minimum, meV per atom: run P 244; run Q 0

Run P
Ba2CdInNi: relaxed, PBE.

CIF file:
```
data_Ba2CdInNi
_cell_length_a 5.930
_cell_length_b 5.930
_cell_length_c 5.052
_cell_angle_alpha 90.00
_cell_angle_beta 90.00
_cell_angle_gamma 90.00
_space_group_name_H-M_alt 'P 4/m m m'
_space_group_IT_number 123
_space_group_name_Hall '-P 4 2'
loop_
_atom_site_label
_atom_site_type_symbol
_atom_site_fract_x
_atom_site_fract_y
_atom_site_fract_z
Ba1 Ba 0.000 0.500 0.000
Cd1 Cd 0.000 0.000 0.500
In1 In 0.500 0.500 0.500
Ni1 Ni 0.000 0.000 0.000
```

Run Q
Ba2CdInNi: relaxed, PBE.

CIF file:
```
data_Ba2CdInNi
_cell_length_a 5.981
_cell_length_b 5.981
_cell_length_c 4.997
_cell_angle_alpha 90.00
_cell_angle_beta 90.00
_cell_angle_gamma 90.00
_space_group_name_H-M_alt 'P 4/m m m'
_space_group_IT_number 123
_space_group_name_Hall '-P 4 2'
loop_
_atom_site_label
_atom_site_type_symbol
_atom_site_fract_x
_atom_site_fract_y
_atom_site_fract_z
Ba1 Ba 0.000 0.500 0.000
Cd1 Cd 0.000 0.000 0.500
In1 In 0.500 0.500 0.500
Ni1 Ni 0.500 0.500 0.000
```

Energies relative to the minimum, meV per atom: run P 85; run Q 0

Run P
BaCdIn2Pd: relaxed, PBE.

CIF file:
```
data_BaCdIn2Pd
_cell_length_a 5.264
_cell_length_b 5.264
_cell_length_c 5.952
_cell_angle_alpha 90.00
_cell_angle_beta 90.00
_cell_angle_gamma 90.00
_space_group_name_H-M_alt 'P 4/m m m'
_space_group_IT_number 123
_space_group_name_Hall '-P 4 2'
loop_
_atom_site_label
_atom_site_type_symbol
_atom_site_fract_x
_atom_site_fract_y
_atom_site_fract_z
Ba1 Ba 0.000 0.000 0.000
Cd1 Cd 0.500 0.500 0.000
In1 In 0.000 0.500 0.500
Pd1 Pd 0.000 0.000 0.500
```

Run Q
BaCdIn2Pd: relaxed, PBE.

CIF file:
```
data_BaCdIn2Pd
_cell_length_a 5.245
_cell_length_b 5.245
_cell_length_c 5.312
_cell_angle_alpha 90.00
_cell_angle_beta 90.00
_cell_angle_gamma 90.00
_space_group_name_H-M_alt 'P 4/m m m'
_space_group_IT_number 123
_space_group_name_Hall '-P 4 2'
loop_
_atom_site_label
_atom_site_type_symbol
_atom_site_fract_x
_atom_site_fract_y
_atom_site_fract_z
Ba1 Ba 0.000 0.000 0.000
Cd1 Cd 0.500 0.500 0.000
In1 In 0.000 0.500 0.500
Pd1 Pd 0.500 0.500 0.500
```

Energies relative to the minimum, meV per atom: run P 116; run Q 0

Run P
BaCd2InPd: relaxed, PBE.

CIF file:
```
data_BaCd2InPd
_cell_length_a 5.310
_cell_length_b 5.310
_cell_length_c 5.207
_cell_angle_alpha 90.00
_cell_angle_beta 90.00
_cell_angle_gamma 90.00
_space_group_name_H-M_alt 'P 4/m m m'
_space_group_IT_number 123
_space_group_name_Hall '-P 4 2'
loop_
_atom_site_label
_atom_site_type_symbol
_atom_site_fract_x
_atom_site_fract_y
_atom_site_fract_z
Ba1 Ba 0.000 0.000 0.000
Cd1 Cd 0.000 0.500 0.500
In1 In 0.500 0.500 0.000
Pd1 Pd 0.500 0.500 0.500
```

Run Q
BaCd2InPd: relaxed, PBE.

CIF file:
```
data_BaCd2InPd
_cell_length_a 4.650
_cell_length_b 4.750
_cell_length_c 12.394
_cell_angle_alpha 90.00
_cell_angle_beta 90.00
_cell_angle_gamma 90.00
_space_group_name_H-M_alt 'I m m 2'
_space_group_IT_number 44
loop_
_space_group_symop_operation_xyz
'x,y,z'
'-x,-y,z'
'-x,y,z'
'x,-y,z'
'x+1/2,y+1/2,z+1/2'
'-x+1/2,-y+1/2,z+1/2'
'-x+1/2,y+1/2,z+1/2'
'x+1/2,-y+1/2,z+1/2'
loop_
_atom_site_label
_atom_site_type_symbol
_atom_site_fract_x
_atom_site_fract_y
_atom_site_fract_z
Ba1 Ba 0.000 0.000 0.000
Cd1 Cd 0.000 0.000 0.609
Cd2 Cd 0.000 0.500 0.263
In1 In 0.000 0.500 0.765
Pd1 Pd 0.000 0.000 0.386
```

Energies relative to the minimum, meV per atom: run P 58; run Q 0

Run P
BaCd2InPt: relaxed, PBE.

CIF file:
```
data_BaCd2InPt
_cell_length_a 5.318
_cell_length_b 5.318
_cell_length_c 5.210
_cell_angle_alpha 90.00
_cell_angle_beta 90.00
_cell_angle_gamma 90.00
_space_group_name_H-M_alt 'P 4/m m m'
_space_group_IT_number 123
_space_group_name_Hall '-P 4 2'
loop_
_atom_site_label
_atom_site_type_symbol
_atom_site_fract_x
_atom_site_fract_y
_atom_site_fract_z
Ba1 Ba 0.000 0.000 0.000
Cd1 Cd 0.000 0.500 0.500
In1 In 0.500 0.500 0.000
Pt1 Pt 0.500 0.500 0.500
```

Run Q
BaCd2InPt: relaxed, PBE.

CIF file:
```
data_BaCd2InPt
_cell_length_a 4.612
_cell_length_b 4.748
_cell_length_c 12.409
_cell_angle_alpha 90.00
_cell_angle_beta 90.00
_cell_angle_gamma 90.00
_space_group_name_H-M_alt 'I m m 2'
_space_group_IT_number 44
loop_
_space_group_symop_operation_xyz
'x,y,z'
'-x,-y,z'
'-x,y,z'
'x,-y,z'
'x+1/2,y+1/2,z+1/2'
'-x+1/2,-y+1/2,z+1/2'
'-x+1/2,y+1/2,z+1/2'
'x+1/2,-y+1/2,z+1/2'
loop_
_atom_site_label
_atom_site_type_symbol
_atom_site_fract_x
_atom_site_fract_y
_atom_site_fract_z
Ba1 Ba 0.000 0.000 0.000
Cd1 Cd 0.000 0.000 0.613
Cd2 Cd 0.000 0.500 0.266
In1 In 0.000 0.500 0.767
Pt1 Pt 0.000 0.000 0.391
```

Energies relative to the minimum, meV per atom: run P 60; run Q 0

Run P
BaZnCd2In: relaxed, PBE.

CIF file:
```
data_BaZnCd2In
_cell_length_a 4.743
_cell_length_b 4.768
_cell_length_c 12.215
_cell_angle_alpha 90.00
_cell_angle_beta 90.00
_cell_angle_gamma 90.00
_space_group_name_H-M_alt 'I m m 2'
_space_group_IT_number 44
loop_
_space_group_symop_operation_xyz
'x,y,z'
'-x,-y,z'
'-x,y,z'
'x,-y,z'
'x+1/2,y+1/2,z+1/2'
'-x+1/2,-y+1/2,z+1/2'
'-x+1/2,y+1/2,z+1/2'
'x+1/2,-y+1/2,z+1/2'
loop_
_atom_site_label
_atom_site_type_symbol
_atom_site_fract_x
_atom_site_fract_y
_atom_site_fract_z
Ba1 Ba 0.000 0.000 0.000
Zn1 Zn 0.000 0.000 0.386
Cd1 Cd 0.000 0.000 0.611
Cd2 Cd 0.000 0.500 0.259
In1 In 0.000 0.500 0.759
```

Run Q
BaZnCd2In: relaxed, PBE.

CIF file:
```
data_BaZnCd2In
_cell_length_a 5.325
_cell_length_b 5.325
_cell_length_c 5.309
_cell_angle_alpha 90.00
_cell_angle_beta 90.00
_cell_angle_gamma 90.00
_space_group_name_H-M_alt 'P 4/m m m'
_space_group_IT_number 123
_space_group_name_Hall '-P 4 2'
loop_
_atom_site_label
_atom_site_type_symbol
_atom_site_fract_x
_atom_site_fract_y
_atom_site_fract_z
Ba1 Ba 0.000 0.000 0.000
Zn1 Zn 0.500 0.500 0.500
Cd1 Cd 0.000 0.500 0.500
In1 In 0.500 0.500 0.000
```

Energies relative to the minimum, meV per atom: run P 0; run Q 192

Run P
BaCd4Ir: relaxed, PBE.

CIF file:
```
data_BaCd4Ir
_cell_length_a 7.344
_cell_length_b 7.344
_cell_length_c 7.875
_cell_angle_alpha 90.00
_cell_angle_beta 90.05
_cell_angle_gamma 90.00
_space_group_name_H-M_alt 'C 1 2/m 1'
_space_group_IT_number 12
loop_
_space_group_symop_operation_xyz
'x,y,z'
'-x,-y,-z'
'-x,y,-z'
'x,-y,z'
'x+1/2,y+1/2,z'
'-x+1/2,-y+1/2,-z'
'-x+1/2,y+1/2,-z'
'x+1/2,-y+1/2,z'
loop_
_atom_site_label
_atom_site_type_symbol
_atom_site_fract_x
_atom_site_fract_y
_atom_site_fract_z
Ba1 Ba 0.000 0.000 0.000
Cd1 Cd 0.000 0.500 0.174
Cd2 Cd 0.250 0.250 0.500
Ir1 Ir 0.000 0.500 0.500
```

Run Q
BaCd4Ir: relaxed, PBE.

CIF file:
```
data_BaCd4Ir
_cell_length_a 8.268
_cell_length_b 8.268
_cell_length_c 8.268
_cell_angle_alpha 90.00
_cell_angle_beta 90.00
_cell_angle_gamma 90.00
_space_group_name_H-M_alt 'F -4 3 m'
_space_group_IT_number 216
_space_group_name_Hall 'F -4 2 3'
loop_
_atom_site_label
_atom_site_type_symbol
_atom_site_fract_x
_atom_site_fract_y
_atom_site_fract_z
Ba1 Ba 0.000 0.000 0.000
Cd1 Cd 0.123 0.123 0.623
Ir1 Ir 0.250 0.250 0.250
```

Energies relative to the minimum, meV per atom: run P 0; run Q 64